A geometry-optimized Sc2P2Rh5 structure, computed with PBE.

```
data_Sc2P2Rh5
_cell_length_a 4.0274
_cell_length_b 4.0274
_cell_length_c 8.4389
_cell_angle_alpha 90.00
_cell_angle_beta 90.00
_cell_angle_gamma 90.00
_symmetry_space_group_name_H-M 'P 4/m m m'
_symmetry_Int_Tables_number 123
_symmetry_space_group_name_Hall '-P 4 2'
loop_
_atom_site_label
_atom_site_fract_x
_atom_site_fract_y
_atom_site_fract_z
Sc1 0.0000 0.0000 0.0000
Sc2 0.0000 0.0000 0.5000
P1 0.5000 0.5000 0.1334
Rh1 0.0000 0.5000 0.2593
Rh2 0.5000 0.5000 0.5000
```

Results
- E: -7.65 eV/atom
- Volume: 15.2 A^3/atom
- Formation energy from the elements: -0.96 eV per atom

A geometry-optimized ScPRh structure, computed with PBE.

```
data_ScPRh
_cell_length_a 6.5364
_cell_length_b 3.7487
_cell_length_c 11.2384
_cell_angle_alpha 90.00
_cell_angle_beta 90.95
_cell_angle_gamma 90.00
_symmetry_space_group_name_H-M 'P 1 21/m 1'
_symmetry_Int_Tables_number 11
loop_
_symmetry_equiv_pos_as_xyz
'x,y,z'
'-x,-y,-z'
'-x,y+1/2,-z'
'x,-y+1/2,z'
loop_
_atom_site_label
_atom_site_fract_x
_atom_site_fract_y
_atom_site_fract_z
Sc1 0.0253 0.2500 0.2096
Sc2 0.3487 0.7500 0.5798
Sc3 0.4658 0.7500 0.8823
P1 0.2347 0.2500 0.4176
P2 0.2390 0.7500 0.0823
P3 0.2697 0.2500 0.7508
Rh1 0.0082 0.2500 0.5940
Rh2 0.1541 0.2500 0.9593
Rh3 0.3627 0.7500 0.2943
```

Results
- E: -7.65 eV/atom
- Volume: 15.3 A^3/atom
- Formation energy from the elements: -1.29 eV per atom

A geometry-optimized ScP4Rh structure, computed with PBE.

```
data_ScP4Rh
_cell_length_a 7.1283
_cell_length_b 7.1283
_cell_length_c 7.1283
_cell_angle_alpha 90.00
_cell_angle_beta 90.00
_cell_angle_gamma 90.00
_symmetry_space_group_name_H-M 'F -4 3 m'
_symmetry_Int_Tables_number 216
_symmetry_space_group_name_Hall 'F -4 2 3'
loop_
_atom_site_label
_atom_site_fract_x
_atom_site_fract_y
_atom_site_fract_z
Sc1 0.0000 0.0000 0.0000
P1 0.1228 0.1228 0.6228
Rh1 0.2500 0.2500 0.2500
```

Results
- E: -5.79 eV/atom
- Volume: 15.1 A^3/atom
- Formation energy from the elements: 0.10 eV per atom